No. 1
A plane-wave DFT calculation with PBE was carried out for a geometry-optimized Mn2NiGe2 structure.

Calculated values
Crystal system   tetragonal
Energy relative to the elements   0.0211 eV/atom
M_tot   10.9 Bohr magnetons per cell

Unit cell a=6.7106 b=6.7106 c=3.0715 alpha=90.00 beta=90.00 gamma=90.00
Positions (direct):
Mn  0.1486  0.3514  0.0000
Mn  0.3514  0.8514  0.0000
Mn  0.6486  0.1486  0.0000
Mn  0.8514  0.6486  0.0000
Ni  0.0000  0.0000  0.5000
Ni  0.5000  0.5000  0.5000
Ge  0.1515  0.6515  0.5000
Ge  0.3485  0.1515  0.5000
Ge  0.6515  0.8485  0.5000
Ge  0.8485  0.3485  0.5000

No. 2
A plane-wave DFT calculation with PBE was carried out for a geometry-optimized Pr3MgCu3 structure.

Calculated values
Crystal system   orthorhombic
Energy relative to the elements   -0.1510 eV/atom
M_tot   0.0 Bohr magnetons per cell

Unit cell a=5.6707 b=5.6707 c=14.1840 alpha=90.00 beta=90.00 gamma=133.31
Positions (direct):
Pr  0.0182  0.9818  0.7500
Pr  0.3013  0.6987  0.6046
Pr  0.3013  0.6987  0.8954
Pr  0.6987  0.3013  0.1046
Pr  0.6987  0.3013  0.3954
Pr  0.9818  0.0182  0.2500
Mg  0.0000  0.0000  0.0000
Mg  0.0000  0.0000  0.5000
Cu  0.2758  0.7242  0.2500
Cu  0.4062  0.5938  0.0988
Cu  0.4062  0.5938  0.4012
Cu  0.5938  0.4062  0.5988
Cu  0.5938  0.4062  0.9012
Cu  0.7242  0.2758  0.7500

No. 3
A plane-wave DFT calculation with PBE was carried out for a geometry-optimized Zr2CdIr structure.

Calculated values
Crystal system   tetragonal
Energy relative to the elements   -0.0825 eV/atom
M_tot   0.0 Bohr magnetons per cell

Unit cell a=6.2351 b=6.2351 c=6.2351 alpha=102.39 beta=102.39 gamma=124.82
Positions (direct):
Zr  0.0747  0.1250  0.4497
Zr  0.3750  0.9253  0.0503
Zr  0.6753  0.6250  0.5503
Zr  0.8750  0.3247  0.9497
Cd  0.2500  0.7500  0.5000
Cd  0.5000  0.5000  0.0000
Ir  0.0000  0.0000  0.0000
Ir  0.7500  0.2500  0.5000

The density results, record by record, are as follows: 7.54; 6.38; 9.17 Mg/m³.
The final energy results, record by record, are as follows: -66.50; -58.56; -54.41 eV per cell.